{"formula": "La2YCo", "functional": "PBE", "state": "optimized geometry", "mass_density_g_cm3": 6.57, "crystal_system": "orthorhombic", "ef_ev_per_atom": 0.3476, "lattice_angstrom": [[3.791, 0.000, 0.000], [0.000, 5.313, 0.000], [0.000, 0.000, 5.339]], "species": ["La", "La", "Y", "Co"], "frac_coords": [[0.000, 0.000, 0.000], [0.500, 0.000, 0.500], [0.000, 0.500, 0.500], [0.500, 0.500, 0.000]]}



{"formula": "MgZn3", "functional": "PBE", "state": "optimized geometry", "mass_density_g_cm3": 5.57, "crystal_system": "tetragonal", "ef_ev_per_atom": -0.0413, "lattice_angstrom": [[-2.006, 2.006, 8.164], [2.006, -2.006, 8.164], [2.006, 2.006, -8.164]], "species": ["Mg", "Mg", "Zn", "Zn", "Zn", "Zn", "Zn", "Zn"], "frac_coords": [[0.124, 0.124, 0.000], [0.876, 0.876, 0.000], [0.000, 0.500, 0.500], [0.250, 0.750, 0.500], [0.372, 0.372, 0.000], [0.500, 0.000, 0.500], [0.628, 0.628, 0.000], [0.750, 0.250, 0.500]]}